No. 1
CaEr2PaP4: optimized geometry, PBE-GGA.

abc: 6.907 4.006 6.908
angles: 90.00 109.15 90.00
Fractional positions:
Ca (0.000, 0.000, 0.000)
Er (0.000, 0.500, 0.500)
Er (0.500, 0.000, 0.500)
Pa (0.500, 0.500, 0.000)
P (0.256, 0.000, 0.750)
P (0.262, 0.500, 0.252)
P (0.738, 0.500, 0.748)
P (0.744, 0.000, 0.250)

## Properties
space-group type: P2/m
energy of formation from the pure elements: -1.430 eV/atom

---

No. 2
ScPtAu2: optimized geometry, PBE-GGA.

abc: 4.665 4.665 4.665
angles: 60.00 60.00 60.00
Fractional positions:
Sc (0.000, 0.000, 0.000)
Pt (0.500, 0.500, 0.500)
Au (0.250, 0.250, 0.250)
Au (0.750, 0.750, 0.750)

## Properties
space-group type: Fm-3m
energy of formation from the pure elements: -0.618 eV/atom

---

No. 3
UNb2Zn: optimized geometry, PBE-GGA.

abc: 4.512 4.512 3.574
angles: 90.00 90.00 90.00
Fractional positions:
U (0.000, 0.000, 0.000)
Nb (0.000, 0.500, 0.500)
Nb (0.500, 0.000, 0.500)
Zn (0.500, 0.500, 0.000)

## Properties
space-group type: P4/mmm
energy of formation from the pure elements: 0.109 eV/atom
energy above the most stable polymorph in this dataset: 0 meV/atom

---

No. 4
K5TcCl2O4: optimized geometry, PBE-GGA.

abc: 8.421 6.105 6.105
angles: 113.27 90.00 90.00
Fractional positions:
K (0.000, 0.000, 0.000)
K (0.292, 0.218, 0.586)
K (0.292, 0.586, 0.218)
K (0.708, 0.218, 0.586)
K (0.708, 0.586, 0.218)
Tc (0.500, 0.917, 0.917)
Cl (0.000, 0.465, 0.866)
Cl (0.000, 0.866, 0.465)
O (0.325, 0.085, 0.085)
O (0.500, 0.600, 0.888)
O (0.500, 0.888, 0.600)
O (0.675, 0.085, 0.085)

## Properties
space-group type: Amm2
DFT total energy: -4.925 eV/atom